A plane-wave DFT calculation with PBE was carried out for crystalline Ac2WN4 at its relaxed geometry.

Cell and atoms, written as CIF:
```
data_Ac2WN4
_chemical_formula_sum 'Ac4 W2 N8'
_cell_length_a 5.911
_cell_length_b 6.920
_cell_length_c 7.487
_cell_angle_alpha 114.83
_cell_angle_beta 90.00
_cell_angle_gamma 115.29
_symmetry_space_group_name_H-M 'P 1'
_symmetry_Int_Tables_number 1
_symmetry_space_group_name_Hall 'P 1'
loop_
_atom_site_label
_atom_site_type_symbol
_atom_site_fract_x
_atom_site_fract_y
_atom_site_fract_z
_atom_site_occupancy
Ac1 Ac 0.472 0.944 0.747 1
Ac2 Ac 0.528 0.056 0.253 1
Ac3 Ac 0.838 0.675 0.235 1
Ac4 Ac 0.162 0.325 0.765 1
W1 W 0.819 0.639 0.769 1
W2 W 0.181 0.361 0.231 1
N1 N 0.605 0.720 0.934 1
N2 N 0.884 0.280 0.066 1
N3 N 0.395 0.280 0.066 1
N4 N 0.116 0.720 0.934 1
N5 N 0.091 0.183 0.379 1
N6 N 0.909 0.817 0.621 1
N7 N 0.647 0.293 0.634 1
N8 N 0.353 0.707 0.366 1
```

Energy (eV per atom): -8.93
D(E_F) (states/eV per cell): 0.0
Distance to the lowest polymorph of the same formula (meV per atom): 0
Uncorrected formation energy (eV per atom): -1.147